1.
Computed, not measured: an optimized crystal structure of BaErPb2 at the PBE level of DFT.

a = 5.151 Å, b = 5.151 Å, c = 7.083 Å
α = 68.68°, β = 68.68°, γ = 60.00°
Atoms (fractional coordinates):
Pb 0.273 0.273 0.180
Pb 0.727 0.727 0.820
Ba 0.500 0.500 0.500
Er 0.000 0.000 0.000

Properties
The value obtained for the calculated formation energy is -0.356 eV/atom. As for the magnetic moment: 0.000 μB per formula unit. For the volume, the calculation gives 148 Å³ per cell. The value obtained for the density of states at the Fermi level is 4.32 states/eV per cell.

=====

2.
Computed, not measured: an optimized crystal structure of NaBe2ZnRu at the PBE level of DFT.

a = 4.159 Å, b = 4.564 Å, c = 4.159 Å
α = 90.00°, β = 90.00°, γ = 90.00°
Atoms (fractional coordinates):
Ru 0.500 0.500 0.500
Zn 0.000 0.000 0.000
Be 0.000 0.000 0.500
Be 0.500 0.000 0.000
Na 0.000 0.500 0.000

Properties
The value obtained for the calculated formation energy is 1.204 eV/atom. As for the magnetic moment: 1.060 μB per formula unit. For the volume, the calculation gives 79 Å³ per cell. The value obtained for the density of states at the Fermi level is 3.19 states/eV per cell.

=====

3.
Computed, not measured: an optimized crystal structure of Sm3Dy2Tm6Pb at the PBE level of DFT.

a = 6.083 Å, b = 6.083 Å, c = 11.594 Å
α = 95.04°, β = 95.04°, γ = 119.99°
Atoms (fractional coordinates):
Sm 0.167 0.833 0.500
Sm 0.833 0.167 0.500
Sm 0.500 0.500 0.500
Dy 0.334 0.666 0.000
Dy 0.666 0.334 0.000
Tm 0.919 0.590 0.754
Tm 0.752 0.752 0.247
Tm 0.081 0.410 0.246
Tm 0.590 0.919 0.754
Tm 0.248 0.248 0.753
Tm 0.410 0.081 0.246
Pb 0.000 0.000 0.000

Properties
The value obtained for the calculated formation energy is -0.049 eV/atom. As for the magnetic moment: 0.005 μB per formula unit. For the volume, the calculation gives 366 Å³ per cell. The value obtained for the density of states at the Fermi level is 15.75 states/eV per cell.

=====

4.
Computed, not measured: an optimized crystal structure of CaHg3Pd2 at the PBE level of DFT.

a = 4.287 Å, b = 8.586 Å, c = 8.586 Å
α = 62.48°, β = 75.54°, γ = 75.54°
Atoms (fractional coordinates):
Ca 0.867 0.133 0.133
Ca 0.133 0.867 0.867
Hg 0.324 0.465 0.887
Hg 0.000 0.342 0.658
Hg 0.676 0.113 0.535
Hg 0.324 0.887 0.465
Hg 0.000 0.658 0.342
Hg 0.676 0.535 0.113
Pd 0.500 0.147 0.853
Pd 0.500 0.853 0.147
Pd 0.804 0.696 0.696
Pd 0.196 0.304 0.304

Properties
The value obtained for the calculated formation energy is -0.335 eV/atom. As for the magnetic moment: 0.000 μB per formula unit. For the volume, the calculation gives 268 Å³ per cell. The energy above the most stable polymorph in this dataset is 0 meV per atom. The value obtained for the density of states at the Fermi level is 4.59 states/eV per cell.

=====

5.
Computed, not measured: an optimized crystal structure of ScTi2F at the PBE level of DFT.

a = 4.640 Å, b = 4.640 Å, c = 4.640 Å
α = 60.00°, β = 60.00°, γ = 60.00°
Atoms (fractional coordinates):
Sc 0.500 0.500 0.500
F 0.000 0.000 0.000
Ti 0.250 0.250 0.250
Ti 0.750 0.750 0.750

Properties
As for the magnetic moment: 0.000 μB per formula unit. For the volume, the calculation gives 71 Å³ per cell. The energy above the most stable polymorph in this dataset is 925 meV per atom. Its formation energy (no corrections) is 304.7 meV per atom. The value obtained for the density of states at the Fermi level is 6.84 states/eV per cell.

=====

6.
Computed, not measured: an optimized crystal structure of Tm4IrRu at the PBE level of DFT.

a = 6.731 Å, b = 6.732 Å, c = 6.734 Å
α = 90.00°, β = 90.39°, γ = 90.00°
Atoms (fractional coordinates):
Tm 0.835 0.667 0.170
Tm 0.665 0.167 0.830
Tm 0.331 0.333 0.335
Tm 0.169 0.833 0.665
Tm 0.165 0.333 0.830
Tm 0.335 0.833 0.170
Tm 0.669 0.667 0.665
Tm 0.831 0.167 0.335
Ir 0.000 0.000 0.000
Ir 0.500 0.500 0.000
Ru 0.500 0.000 0.500
Ru 0.000 0.500 0.500

Properties
The value obtained for the calculated formation energy is -0.516 eV/atom. As for the magnetic moment: 0.000 μB per formula unit. For the volume, the calculation gives 305 Å³ per cell. The energy above the most stable polymorph in this dataset is 97 meV per atom. The value obtained for the density of states at the Fermi level is 6.49 states/eV per cell.

=====

7.
Computed, not measured: an optimized crystal structure of TaAl2ZnS at the PBE level of DFT.

a = 4.428 Å, b = 5.046 Å, c = 4.428 Å
α = 90.00°, β = 90.00°, γ = 90.00°
Atoms (fractional coordinates):
Zn 0.000 0.000 0.000
Al 0.000 0.000 0.500
Al 0.500 0.000 0.000
S 0.500 0.500 0.500
Ta 0.000 0.500 0.000

Properties
As for the magnetic moment: 0.000 μB per formula unit. For the volume, the calculation gives 99 Å³ per cell. Its formation energy (no corrections) is 894.4 meV per atom. The value obtained for the density of states at the Fermi level is 5.05 states/eV per cell.

=====

8.
Computed, not measured: an optimized crystal structure of Ho12Er6Pb at the PBE level of DFT.

a = 8.403 Å, b = 8.403 Å, c = 8.403 Å
α = 88.54°, β = 88.54°, γ = 88.54°
Atoms (fractional coordinates):
Ho 0.778 0.542 0.432
Ho 0.432 0.778 0.542
Ho 0.542 0.432 0.778
Ho 0.222 0.458 0.568
Ho 0.568 0.222 0.458
Ho 0.458 0.568 0.222
Ho 0.010 0.190 0.363
Ho 0.810 0.637 0.990
Ho 0.637 0.990 0.810
Ho 0.990 0.810 0.637
Ho 0.190 0.363 0.010
Ho 0.363 0.010 0.190
Er 0.743 0.905 0.301
Er 0.699 0.257 0.095
Er 0.095 0.699 0.257
Er 0.257 0.095 0.699
Er 0.301 0.743 0.905
Er 0.905 0.301 0.743
Pb 0.000 0.000 0.000

Properties
The value obtained for the calculated formation energy is 0.067 eV/atom. As for the magnetic moment: 0.000 μB per formula unit. For the volume, the calculation gives 593 Å³ per cell. The value obtained for the density of states at the Fermi level is 27.69 states/eV per cell.

=====

9.
Computed, not measured: an optimized crystal structure of Li2MgSi at the PBE level of DFT.

a = 3.250 Å, b = 3.250 Å, c = 6.483 Å
α = 90.00°, β = 90.00°, γ = 90.00°
Atoms (fractional coordinates):
Li 0.000 0.000 0.985
Li 0.500 0.500 0.221
Mg 0.000 0.000 0.516
Si 0.500 0.500 0.777

Properties
As for the magnetic moment: 0.000 μB per formula unit. For the volume, the calculation gives 68 Å³ per cell. Its formation energy (no corrections) is -62.6 meV per atom. The value obtained for the density of states at the Fermi level is 1.29 states/eV per cell.

=====

10.
Computed, not measured: an optimized crystal structure of As3Br at the PBE level of DFT.

a = 5.210 Å, b = 5.210 Å, c = 5.210 Å
α = 90.00°, β = 90.00°, γ = 90.00°
Atoms (fractional coordinates):
As 0.500 0.000 0.000
As 0.000 0.500 0.000
As 0.000 0.000 0.500
Br 0.000 0.000 0.000

Properties
As for the magnetic moment: 0.000 μB per formula unit. For the volume, the calculation gives 141 Å³ per cell. The energy above the most stable polymorph in this dataset is 1451 meV per atom. Its formation energy (no corrections) is 1540.1 meV per atom. The value obtained for the density of states at the Fermi level is 4.86 states/eV per cell.

=====

11.
Computed, not measured: an optimized crystal structure of TaAgTe2 at the PBE level of DFT.

a = 5.960 Å, b = 5.960 Å, c = 5.960 Å
α = 139.16°, β = 139.16°, γ = 59.14°
Atoms (fractional coordinates):
Te 0.000 0.000 0.000
Te 0.250 0.750 0.500
Ag 0.500 0.500 0.000
Ta 0.750 0.250 0.500

Properties
As for the magnetic moment: 0.851 μB per formula unit. For the volume, the calculation gives 90 Å³ per cell. Its formation energy (no corrections) is 507.2 meV per atom. The value obtained for the density of states at the Fermi level is 3.20 states/eV per cell.

=====

12.
Computed, not measured: an optimized crystal structure of Sn2Pd8Pt at the PBE level of DFT.

a = 4.132 Å, b = 6.506 Å, c = 7.412 Å
α = 109.12°, β = 106.19°, γ = 90.00°
Atoms (fractional coordinates):
Sn 0.786 0.335 0.572
Sn 0.214 0.665 0.428
Pd 0.404 0.548 0.808
Pd 0.673 0.912 0.346
Pd 0.852 0.796 0.704
Pd 0.963 0.265 0.927
Pd 0.148 0.204 0.296
Pd 0.327 0.088 0.654
Pd 0.596 0.452 0.192
Pd 0.037 0.735 0.073
Pt 0.500 0.000 0.000

Properties
The value obtained for the calculated formation energy is -0.324 eV/atom. As for the magnetic moment: 0.000 μB per formula unit. For the volume, the calculation gives 180 Å³ per cell. The energy above the most stable polymorph in this dataset is 7 meV per atom. The value obtained for the density of states at the Fermi level is 8.00 states/eV per cell.